# ZrMo3F, relaxed, DFT GGA+U
data_ZrMo3F
_chemical_formula_sum 'Zr1 Mo3 F1'
_cell_length_a 4.454
_cell_length_b 4.454
_cell_length_c 4.454
_cell_angle_alpha 90.00
_cell_angle_beta 90.00
_cell_angle_gamma 90.00
_symmetry_space_group_name_H-M 'P m -3 m'
_symmetry_Int_Tables_number 221
_symmetry_space_group_name_Hall '-P 4 2 3'
loop_
_atom_site_label
_atom_site_type_symbol
_atom_site_fract_x
_atom_site_fract_y
_atom_site_fract_z
Zr1 Zr 0.000 0.000 0.000
Mo1 Mo 0.000 0.500 0.500
F1 F 0.500 0.500 0.500
# **Density**: 7.48 g cm⁻³
# **E above lowest polymorph**: 0.0000 eV per atom
# **Magnetic moment**: 4.59 μB per formula unit
# **V**: 88.33 Å³/cell